# 1
This record from the Alexandria database describes a geometry-optimized CaHgF3 structure. The functional is PBEsol.

Lattice parameters (Å, degrees): 4.582 4.582 4.582 90.00 90.00 90.00
Space group Pm-3m (No. 221)
Unique sites:
Ca1 0.000 0.000 0.000
Hg1 0.500 0.500 0.500
F1 0.000 0.500 0.500

- Crystal system: cubic
- Energy relative to the elements, uncorrected: -1.82 eV per atom
- Total DFT energy (no corrections): -17.59 eV for the cell shown

# 2
This record from the Alexandria database describes a geometry-optimized TiCrAgS4 structure. The functional is PBEsol.

Lattice parameters (Å, degrees): 11.337 3.364 13.755 90.00 98.12 90.00
Space group Pm (No. 6)
Unique sites:
Ti1 0.000 0.000 0.000
Ti2 0.173 0.000 0.380
Ti3 0.453 0.000 0.913
Ti4 0.670 0.500 0.369
Cr1 0.082 0.500 0.190
Cr2 0.534 0.500 0.741
Cr3 0.626 0.000 0.550
Cr4 0.897 0.500 0.766
Ag1 0.188 0.000 0.757
Ag2 0.398 0.000 0.161
Ag3 0.704 0.500 0.133
Ag4 0.970 0.500 0.526
S1 0.066 0.500 0.893
S2 0.176 0.000 0.106
S3 0.177 0.500 0.500
S4 0.269 0.500 0.293
S5 0.352 0.500 0.805
S6 0.460 0.000 0.633
S7 0.494 0.500 0.036
S8 0.517 0.500 0.453
S9 0.609 0.000 0.248
S10 0.620 0.000 0.844
S11 0.706 0.500 0.660
S12 0.791 0.000 0.460
S13 0.837 0.000 0.859
S14 0.899 0.500 0.083
S15 0.986 0.000 0.680
S16 0.996 0.000 0.279

- Crystal system: monoclinic
- Energy relative to the elements, uncorrected: -0.76 eV per atom
- E above lowest polymorph: 0.58 eV per formula unit
- Total DFT energy (no corrections): -178.94 eV for the cell shown

# 3
This record from the Alexandria database describes a geometry-optimized ZrRh3 structure. The functional is PBEsol.

Lattice parameters (Å, degrees): 3.916 3.916 15.557 90.00 90.00 90.00
Space group I4/mmm (No. 139)
Unique sites:
Zr1 0.000 0.000 0.122
Rh1 0.000 0.000 0.373
Rh2 0.000 0.500 0.000
Rh3 0.000 0.500 0.250

- Crystal system: tetragonal
- DFT formation energy: -636 meV/atom
- Total DFT energy (no corrections): -144.20 eV for the cell shown

# 4
This record from the Alexandria database describes a geometry-optimized La2MoW structure. The functional is PBEsol.

Lattice parameters (Å, degrees): 2.9501 2.9501 33.8889 90.00 90.00 120.00
Space group R-3m (No. 166, hexagonal axes)
Unique sites:
La1 0.0000 0.0000 0.2503
Mo1 0.0000 0.0000 0.0000
W1 0.0000 0.0000 0.5000

- Crystal system: trigonal
- DFT formation energy: 988 meV/atom
- E above lowest polymorph: 2.71 eV per formula unit
- Total DFT energy (no corrections): -96.95 eV for the cell shown

# 5
This record from the Alexandria database describes a geometry-optimized AsAuSe2 structure. The functional is PBEsol.

Lattice parameters (Å, degrees): 2.802 5.373 5.374 90.00 90.00 90.00
Space group Pmm2 (No. 25)
Unique sites:
As1 0.000 0.000 0.000
Au1 0.000 0.500 0.500
Se1 0.000 0.000 0.499
Se2 0.000 0.500 0.000

- Crystal system: orthorhombic
- Energy relative to the elements, uncorrected: 0.06 eV per atom
- Total DFT energy (no corrections): -16.50 eV for the cell shown

# 6
This record from the Alexandria database describes a geometry-optimized HfTiHg2 structure. The functional is PBEsol.

Lattice parameters (Å, degrees): 6.741 6.741 6.741 90.00 90.00 90.00
Space group Fm-3m (No. 225)
Unique sites:
Hf1 0.000 0.000 0.000
Ti1 0.000 0.000 0.500
Hg1 0.250 0.250 0.250

- Crystal system: cubic
- DFT formation energy: -100 meV/atom
- Total DFT energy (no corrections): -81.43 eV for the cell shown